1.
Compound: Bi2OF
Source: the Alexandria database
Functional: PBE-GGA
Structure: relaxed

Summary:
Formation energy from raw total energies in eV per atom: -0.9366
Symmetry: I-42d
Relative energy among the computed polymorphs in eV/atom: 0.000
Crystal system: tetragonal

Cell: 4.6889 4.6889 8.2926 Å, 73.58 73.58 90.00°
Last column: nearest neighbours and their distance in Å.
Positions (direct):
Bi 0.5865 0.1250 0.2500  2 O 2.44, 2 F 2.61
Bi 0.1635 0.6250 0.2500  2 O 2.44, 2 F 2.61
Bi 0.3750 0.4135 0.7500  2 O 2.44, 2 F 2.61
Bi 0.8750 0.8365 0.7500  2 O 2.44, 2 F 2.61
O 0.5000 0.5000 0.0000  4 Bi 2.44
O 0.2500 0.7500 0.5000  4 Bi 2.44
F 0.0000 0.0000 0.0000  4 Bi 2.61
F 0.7500 0.2500 0.5000  4 Bi 2.61

***

2.
Compound: TbPmSc
Source: the Alexandria database
Functional: PBE-GGA
Structure: relaxed

Summary:
Formation energy in eV per atom: 0.0794
Symmetry: P-6m2
Relative energy among the computed polymorphs in eV/atom: 0.040
Crystal system: hexagonal

Cell: 3.4221 5.4968 5.4968 Å, 120.00 90.00 90.00°
Last column: nearest neighbours and their distance in Å.
Positions (direct):
Sc 0.1673 0.3333 0.6667  3 Pm 3.17, 2 Sc 3.42
Tb 0.6665 0.6667 0.3333  2 Tb 3.42, 6 Sc 3.60-3.61, 6 Pm 3.60-3.61
Pm 0.1662 0.0000 0.0000  3 Sc 3.17, 2 Pm 3.42

***

3.
Compound: CuSb2Ir
Source: the Alexandria database
Functional: PBE-GGA
Structure: relaxed

Summary:
Formation energy from raw total energies in eV per atom: 0.1039
Symmetry: C2/m
Relative energy among the computed polymorphs in eV/atom: 0.078
Crystal system: monoclinic

Cell: 3.7268 3.7268 7.1219 Å, 74.60 74.60 60.67°
Last column: nearest neighbours and their distance in Å.
Positions (direct):
Cu 0.7500 0.7500 0.7500  6 Sb 2.79
Ir 0.2500 0.2500 0.2500  6 Sb 2.69-2.70
Sb 0.9961 0.9961 0.0114  3 Ir 2.69-2.70, 3 Cu 2.79
Sb 0.5039 0.5039 0.4886  3 Ir 2.69-2.70, 3 Cu 2.79

***

4.
Compound: CsMgSnBr6
Source: the Alexandria database
Functional: PBE-GGA
Structure: relaxed

Summary:
Formation energy from raw total energies in eV per atom: -1.1811
Symmetry: P312
Crystal system: trigonal

Cell: 7.2014 7.2015 8.1350 Å, 90.01 89.99 59.99°
Last column: nearest neighbours and their distance in Å.
Positions (direct):
Cs 0.0000 0.0000 0.0000  6 Br 3.68
Mg 0.6666 0.6666 0.5000  6 Br 2.71
Sn 0.3333 0.3333 0.5000  6 Br 2.82-2.83
Br 0.9877 0.3853 0.3028  1 Mg 2.71, 1 Sn 2.82
Br 0.3853 0.9878 0.6972  1 Mg 2.71, 1 Sn 2.82
Br 0.6268 0.3856 0.6973  1 Mg 2.71, 1 Sn 2.83
Br 0.9874 0.6271 0.6972  1 Mg 2.71, 1 Sn 2.82
Br 0.3855 0.6268 0.3027  1 Mg 2.71, 1 Sn 2.83
Br 0.6270 0.9875 0.3028  1 Mg 2.71, 1 Sn 2.82

***

5.
Compound: HoNpN3
Source: the Alexandria database
Functional: PBE-GGA
Structure: relaxed

Summary:
Formation energy from raw total energies in eV per atom: -1.1583
Symmetry: P2_13
Crystal system: cubic

Cell: 6.6350 6.6350 6.6350 Å, 90.00 90.00 90.00°
Last column: nearest neighbours and their distance in Å.
Positions (direct):
Ho 0.8789 0.8789 0.8789  6 N 2.32-2.44
Ho 0.6211 0.1211 0.3789  6 N 2.32-2.44
Ho 0.3789 0.6211 0.1211  6 N 2.32-2.44
Ho 0.1211 0.3789 0.6211  6 N 2.32-2.44
Np 0.0959 0.9041 0.4041  6 N 2.19-2.20
Np 0.4041 0.0959 0.9041  6 N 2.19-2.20
Np 0.5959 0.5959 0.5959  6 N 2.19-2.20
Np 0.9041 0.4041 0.0959  6 N 2.19-2.20
N 0.9768 0.2087 0.3518  2 Np 2.19-2.20, 2 Ho 2.32-2.44
N 0.1482 0.0232 0.7087  2 Np 2.19-2.20, 2 Ho 2.32-2.44
N 0.2087 0.3518 0.9768  2 Np 2.19-2.20, 2 Ho 2.32-2.44
N 0.2913 0.6482 0.4768  2 Np 2.19-2.20, 2 Ho 2.32-2.44
N 0.3518 0.9768 0.2087  2 Np 2.19-2.20, 2 Ho 2.32-2.44
N 0.5232 0.7913 0.8518  2 Np 2.19-2.20, 2 Ho 2.32-2.44
N 0.4768 0.2913 0.6482  2 Np 2.19-2.20, 2 Ho 2.32-2.44
N 0.6482 0.4768 0.2913  2 Np 2.19-2.20, 2 Ho 2.32-2.44
N 0.7087 0.1482 0.0232  2 Np 2.19-2.20, 2 Ho 2.32-2.44
N 0.7913 0.8518 0.5232  2 Np 2.19-2.20, 2 Ho 2.32-2.44
N 0.8518 0.5232 0.7913  2 Np 2.19-2.20, 2 Ho 2.32-2.44
N 0.0232 0.7087 0.1482  2 Np 2.19-2.20, 2 Ho 2.32-2.44

***

6.
Compound: Pu2AlGa3Pd4
Source: the Alexandria database
Functional: PBE-GGA
Structure: relaxed

Summary:
Formation energy in eV per atom: -0.6075
Symmetry: P-4m2
Crystal system: tetragonal

Cell: 4.1699 4.1699 10.9145 Å, 90.00 90.00 90.00°
Last column: nearest neighbours and their distance in Å.
Positions (direct):
Pu 0.5000 0.0000 0.2515  8 Pd 3.20-3.45, 6 Ga 3.22-3.42, 2 Al 3.42
Pu 0.0000 0.5000 0.7485  8 Pd 3.20-3.45, 6 Ga 3.22-3.42, 2 Al 3.42
Al 0.5000 0.5000 0.5000  4 Pd 2.56
Ga 0.0000 0.0000 0.5000  4 Pd 2.56
Ga 0.5000 0.0000 0.8665  5 Pd 2.52-2.54
Ga 0.0000 0.5000 0.1335  5 Pd 2.52-2.54
Pd 0.5000 0.5000 0.0000  4 Ga 2.54
Pd 0.0000 0.0000 0.0000  4 Ga 2.54
Pd 0.5000 0.0000 0.6356  3 Ga 2.52-2.56, 2 Al 2.56
Pd 0.0000 0.5000 0.3644  3 Ga 2.52-2.56, 2 Al 2.56

***

7.
Compound: Ca2AgBr
Source: the Alexandria database
Functional: PBE-GGA
Structure: relaxed

Summary:
Formation energy from raw total energies in eV per atom: -0.6149
Symmetry: Immm
Relative energy among the computed polymorphs in eV/atom: 0.201
Crystal system: orthorhombic

Cell: 5.8778 5.8778 5.8778 Å, 137.89 115.49 80.09°
Last column: nearest neighbours and their distance in Å.
Positions (direct):
Ca 0.9865 0.9865 0.0000  2 Br 3.00, 2 Ag 3.18
Ca 0.5135 0.5135 0.0000  2 Br 3.00, 2 Ag 3.18
Br 0.7500 0.2500 0.5000  4 Ca 3.00
Ag 0.2500 0.7500 0.5000  4 Ca 3.18

***

8.
Compound: BaCuPb2
Source: the Alexandria database
Functional: PBE-GGA
Structure: relaxed

Summary:
Formation energy in eV per atom: -0.0313
Symmetry: I-4m2
Crystal system: tetragonal

Cell: 5.8390 5.8390 5.8390 Å, 126.99 126.99 78.26°
Last column: nearest neighbours and their distance in Å.
Positions (direct):
Ba 0.5000 0.5000 0.0000  4 Cu 3.45, 8 Pb 3.45-3.69
Cu 0.7500 0.2500 0.5000  4 Ba 3.45, 8 Pb 3.45-3.69
Pb 0.0000 0.0000 0.0000  4 Pb 3.45, 4 Cu 3.45, 4 Ba 3.69
Pb 0.2500 0.7500 0.5000  4 Ba 3.45, 4 Pb 3.45, 4 Cu 3.69

***

9.
Compound: PRhCl3
Source: the Alexandria database
Functional: PBE-GGA
Structure: relaxed

Summary:
Formation energy from raw total energies in eV per atom: 0.3988
Symmetry: Pm-3m
Relative energy among the computed polymorphs in eV/atom: 0.000
Crystal system: cubic

Cell: 4.7840 4.7840 4.7840 Å, 90.00 90.00 90.00°
Last column: nearest neighbours and their distance in Å.
Positions (direct):
P 0.5000 0.5000 0.5000  12 Cl 3.38
Rh 0.0000 0.0000 0.0000  6 Cl 2.39
Cl 0.0000 0.5000 0.0000  2 Rh 2.39
Cl 0.0000 0.0000 0.5000  2 Rh 2.39
Cl 0.5000 0.0000 0.0000  2 Rh 2.39

***

10.
Compound: Au3Br
Source: the Alexandria database
Functional: PBE-GGA
Structure: relaxed

Summary:
Formation energy from raw total energies in eV per atom: 0.3593
Symmetry: P4/mmm
Relative energy among the computed polymorphs in eV/atom: 0.248
Crystal system: tetragonal

Cell: 4.2590 4.2590 4.3806 Å, 90.00 90.00 90.00°
Last column: nearest neighbours and their distance in Å.
Positions (direct):
Au 0.0000 0.0000 0.0000  8 Au 3.01-3.05, 4 Br 3.05
Au 0.5000 0.0000 0.5000  4 Br 3.01, 8 Au 3.05
Au 0.5000 0.5000 0.0000  8 Au 3.01-3.05, 4 Br 3.05
Br 0.0000 0.5000 0.5000  12 Au 3.01-3.05

***

no.,calculated volume (Å³/atom),VASP energy (eV/f.u.)
1,20.89,-18.338
2,29.85,-15.474
3,20.51,-20.786
4,40.59,-27.119
5,14.60,-48.286
6,18.98,-68.334
7,29.81,-10.987
8,30.75,-13.561
9,21.90,-16.307
10,19.87,-10.068